# Zr5Be2As | the Alexandria database | PBE | relaxed
data_Zr5Be2As
_cell_length_a 6.831
_cell_length_b 6.831
_cell_length_c 12.563
_cell_angle_alpha 90.00
_cell_angle_beta 90.00
_cell_angle_gamma 90.00
_symmetry_space_group_name_H-M 'I 4/m c m'
_symmetry_Int_Tables_number 140
_symmetry_space_group_name_Hall '-I 4 2c'
loop_
_atom_site_label
_atom_site_type_symbol
_atom_site_fract_x
_atom_site_fract_y
_atom_site_fract_z
_atom_site_occupancy
Zr1 Zr 0.000 0.000 0.000 1
Zr2 Zr 0.166 0.334 0.147 1
Be1 Be 0.115 0.385 0.500 1
As1 As 0.000 0.000 0.250 1
# Theoretical density, g/cm3: 6.2
# Magnetization, μB/f.u.: 0.0
# ΔE_f, meV/atom: -375